# 1
A relaxed ReSiTe2 crystal, computed with GGA-PBE.

uncorrected energy = -5.24 eV per atom
formation energy (no corrections) = 0.800 eV/atom
crystal system = tetragonal

```
ReSiTe2
1.0
6.188 0.000 0.000
0.000 6.188 0.000
0.000 0.000 11.915
Re Si Te
4 4 8
Cartesian
0.000 0.000 0.000
0.000 3.094 2.979
3.094 0.000 8.936
3.094 3.094 5.957
0.000 0.000 5.957
0.000 3.094 8.936
3.094 0.000 2.979
3.094 3.094 0.000
1.412 1.547 1.489
1.547 4.505 4.468
1.547 4.776 10.425
1.682 1.547 7.447
4.505 4.641 7.447
4.641 1.412 10.425
4.641 1.682 4.468
4.776 4.641 1.489
```

=====

# 2
A relaxed ReSi2Te crystal, computed with GGA-PBE.

uncorrected energy = -6.11 eV per atom
formation energy (no corrections) = 0.500 eV/atom
crystal system = orthorhombic

```
ReSi2Te
1.0
3.431 0.000 0.000
0.000 4.722 0.000
0.000 0.000 9.404
Re Si Te
2 4 2
Cartesian
0.000 0.000 0.000
1.715 2.361 0.000
0.000 2.361 1.801
0.000 2.361 7.602
1.715 0.000 1.801
1.715 0.000 7.602
0.000 0.000 4.702
1.715 2.361 4.702
```

=====

Look up the formation energy (no corrections) of the second one. 0.500 eV/atom